(1)
## RbNbSO (PBE-GGA)

Data for an optimized crystal structure of RbNbSO.

* offset from the most stable computed form: 0 meV/atom
* SG: No. 14

POSCAR file:
```
RbNbSO
1.0
7.749 0.000 0.000
0.000 6.207 0.000
-1.441 0.000 7.095
Rb Nb S O
4 4 4 4
Direct
0.117 0.216 0.486 Rb
0.117 0.284 0.986 Rb
0.883 0.716 0.014 Rb
0.883 0.784 0.514 Rb
0.464 0.603 0.657 Nb
0.464 0.897 0.157 Nb
0.536 0.103 0.843 Nb
0.536 0.397 0.343 Nb
0.271 0.645 0.342 S
0.271 0.855 0.842 S
0.729 0.145 0.158 S
0.729 0.355 0.658 S
0.372 0.143 0.294 O
0.372 0.357 0.794 O
0.628 0.643 0.206 O
0.628 0.857 0.706 O
```

***

(2)
## Rb4Nb2Si8O23 (PBE-GGA)

Data for an optimized crystal structure of Rb4Nb2Si8O23.

* E: -7.56 eV/atom
* SG: No. 2

POSCAR file:
```
Rb4Nb2Si8O23
1.0
6.881 0.000 0.000
2.378 7.347 0.000
0.167 2.702 10.739
Rb Nb Si O
4 2 8 23
Direct
0.182 0.281 0.355 Rb
0.211 0.219 0.010 Rb
0.789 0.781 0.990 Rb
0.818 0.719 0.645 Rb
0.283 0.740 0.819 Nb
0.717 0.260 0.181 Nb
0.002 0.196 0.698 Si
0.329 0.672 0.129 Si
0.341 0.703 0.503 Si
0.451 0.132 0.713 Si
0.549 0.868 0.287 Si
0.659 0.297 0.497 Si
0.671 0.328 0.871 Si
0.998 0.804 0.302 Si
0.037 0.977 0.755 O
0.120 0.681 0.207 O
0.120 0.721 0.440 O
0.123 0.592 0.856 O
0.211 0.254 0.671 O
0.270 0.802 0.989 O
0.316 0.732 0.640 O
0.426 0.864 0.416 O
0.441 0.453 0.136 O
0.471 0.756 0.200 O
0.482 0.921 0.786 O
0.500 0.500 0.500 O
0.518 0.079 0.214 O
0.529 0.244 0.800 O
0.559 0.547 0.864 O
0.574 0.136 0.584 O
0.684 0.268 0.360 O
0.730 0.198 0.011 O
0.789 0.746 0.329 O
0.877 0.408 0.144 O
0.880 0.279 0.560 O
0.880 0.319 0.793 O
0.963 0.023 0.245 O
```

***

(3)
## RbNbTeO (PBE-GGA)

Data for an optimized crystal structure of RbNbTeO.

* offset from the most stable computed form: 0 meV/atom
* SG: No. 26

POSCAR file:
```
RbNbTeO
1.0
3.751 0.000 0.000
0.000 8.582 0.000
0.000 0.000 6.373
Rb Nb Te O
2 2 2 2
Direct
0.000 0.134 0.000 Rb
0.000 0.866 0.500 Rb
0.500 0.480 0.271 Nb
0.500 0.520 0.771 Nb
0.000 0.305 0.501 Te
0.000 0.695 0.001 Te
0.500 0.357 0.994 O
0.500 0.643 0.494 O
```

***

(4)
## RbNbTeO (PBE-GGA)

Data for an optimized crystal structure of RbNbTeO.

* offset from the most stable computed form: 653 meV/atom
* SG: No. 129

POSCAR file:
```
RbNbTeO
1.0
3.962 0.000 0.000
0.000 3.962 0.000
0.000 0.000 10.639
Rb Nb Te O
2 2 2 2
Direct
0.250 0.750 0.000 Rb
0.750 0.250 0.000 Rb
0.250 0.250 0.402 Nb
0.750 0.750 0.598 Nb
0.250 0.250 0.734 Te
0.750 0.750 0.266 Te
0.250 0.750 0.500 O
0.750 0.250 0.500 O
```

***

Repeat the third record exactly.
## RbNbTeO (PBE-GGA)

Data for an optimized crystal structure of RbNbTeO.

* offset from the most stable computed form: 0 meV/atom
* SG: No. 26

POSCAR file:
```
RbNbTeO
1.0
3.751 0.000 0.000
0.000 8.582 0.000
0.000 0.000 6.373
Rb Nb Te O
2 2 2 2
Direct
0.000 0.134 0.000 Rb
0.000 0.866 0.500 Rb
0.500 0.480 0.271 Nb
0.500 0.520 0.771 Nb
0.000 0.305 0.501 Te
0.000 0.695 0.001 Te
0.500 0.357 0.994 O
0.500 0.643 0.494 O
```